# 1
{"formula": "Rb3Y3GaTe8", "functional": "PBE", "state": "relaxed", "m_tot_mub_per_cell": 0.00, "spacegroup": "C2/m", "cell": [[-4.4779, 1.4372, -7.3811], [-3.5117, -4.8686, 6.3718], [0.2551, 10.0572, 1.8047]], "species": ["Y", "Te", "Ga", "Y", "Y", "Te", "Te", "Te", "Te", "Te", "Rb", "Rb", "Te", "Rb", "Te"], "frac_coords": [[0.0000, 0.5000, 0.5000], [0.2660, 0.5320, 0.2984], [0.0000, 0.0000, 0.5000], [0.5000, 0.0000, 0.5000], [0.5000, 0.5000, 0.5000], [0.7340, 0.4680, 0.7016], [0.2215, 0.4430, 0.6894], [0.7436, 0.9673, 0.6909], [0.2564, 0.0327, 0.3091], [0.7785, 0.5570, 0.3106], [0.0000, 0.0000, 0.0000], [0.5000, 0.5000, 0.0000], [0.7764, 0.0327, 0.3091], [0.0000, 0.5000, 0.0000], [0.2236, 0.9673, 0.6909]]}

=====

# 2
{"formula": "LiYSe", "functional": "PBE", "state": "relaxed", "m_tot_mub_per_cell": 0.00, "spacegroup": "Pmmm", "relative_energy_kj_per_mol_atoms": 9.1, "cell": [[-4.2572, -5.4893, -3.9576], [-2.6798, -4.0742, 8.5338], [-1.8526, 4.4167, -4.1333]], "species": ["Se", "Y", "Y", "Li", "Se", "Y", "Li", "Se", "Se", "Li", "Y", "Li"], "frac_coords": [[0.2502, 0.9999, 0.0000], [0.5000, 0.7498, 0.4996], [0.5000, 0.2502, 0.5004], [0.2495, 0.7499, 0.0000], [0.2498, 0.4999, 0.0000], [0.0000, 0.2498, 0.4996], [0.7495, 0.7501, 0.0000], [0.7502, 0.5001, 0.0000], [0.7498, 0.0001, 0.0000], [0.7505, 0.2501, 0.0000], [0.0000, 0.7502, 0.5004], [0.2505, 0.2499, 0.0000]]}

=====

# 3
{"formula": "Pm3Zn2Ag4", "functional": "PBE", "state": "relaxed", "m_tot_mub_per_cell": 0.00, "spacegroup": "C2/m", "e_form_mev_per_atom": -301, "cell": [[-2.2709, 1.4614, 3.8763], [-2.9792, -4.0222, -3.1078], [6.5247, -3.3882, 5.0998]], "species": ["Ag", "Zn", "Ag", "Ag", "Pm", "Pm", "Ag", "Pm", "Zn"], "frac_coords": [[0.7194, 0.4387, 0.0623], [0.3824, 0.7649, 0.7132], [0.2806, 0.5613, 0.9377], [0.0634, 0.1268, 0.3901], [0.3365, 0.6729, 0.3312], [0.6635, 0.3271, 0.6688], [0.9366, 0.8732, 0.6099], [0.0000, 0.0000, 0.0000], [0.6176, 0.2351, 0.2868]]}

=====

# 4
{"formula": "AcTb6Ho", "functional": "PBE", "state": "relaxed", "m_tot_mub_per_cell": 0.00, "spacegroup": "P4/mmm", "relative_energy_kj_per_mol_atoms": 0.0, "e_form_mev_per_atom": 41, "cell": [[-0.6828, 5.0584, 0.0583], [-3.7049, -0.5401, 3.4698], [6.8807, 0.8425, 7.4780]], "species": ["Tb", "Tb", "Tb", "Tb", "Tb", "Ho", "Ac", "Tb"], "frac_coords": [[0.0000, 0.5000, 0.7416], [0.5000, 0.0000, 0.2584], [0.5000, 0.5000, 0.5000], [0.5000, 0.5000, 0.0000], [0.5000, 0.0000, 0.7416], [0.0000, 0.0000, 0.5000], [0.0000, 0.0000, 0.0000], [0.0000, 0.5000, 0.2584]]}

=====

# 5
{"formula": "Na2Sr5In", "functional": "PBE", "state": "relaxed", "m_tot_mub_per_cell": 0.00, "spacegroup": "I4/mcm", "e_form_mev_per_atom": -68, "cell": [[8.0557, 0.0000, -3.8027], [-1.7951, 7.8531, -3.8027], [0.2356, 0.2955, 10.9330]], "species": ["Sr", "Na", "Sr", "In", "Sr", "Sr", "Sr", "Sr", "Na", "Sr", "Sr", "In", "Sr", "Na", "Na", "Sr"], "frac_coords": [[0.5138, 0.6688, 0.6826], [0.1225, 0.3775, 0.0000], [0.6688, 0.1688, 0.6826], [0.7500, 0.7500, 0.5000], [0.3312, 0.8312, 0.3174], [0.8312, 0.9862, 0.3174], [0.0000, 0.0000, 0.0000], [0.5000, 0.5000, 0.0000], [0.8775, 0.6225, 0.0000], [0.9862, 0.4862, 0.3174], [0.1688, 0.0138, 0.6826], [0.2500, 0.2500, 0.5000], [0.0138, 0.5138, 0.6826], [0.6225, 0.1225, 0.0000], [0.3775, 0.8775, 0.0000], [0.4862, 0.3312, 0.3174]]}

=====

# 6
{"formula": "TlCuW", "functional": "PBE", "state": "relaxed", "m_tot_mub_per_cell": 0.00, "spacegroup": "I4mm", "relative_energy_kj_per_mol_atoms": 2.0, "e_form_mev_per_atom": 759, "cell": [[-5.0623, 4.0939, 2.1253], [-6.7748, 0.7575, 0.6566], [6.0009, -3.2717, 0.4347]], "species": ["Tl", "Cu", "W"], "frac_coords": [[0.3362, 0.3362, 0.0000], [0.0133, 0.0133, 0.0000], [0.6506, 0.6506, 0.0000]]}

=====

Record order is preserved below.
Total DFT energy (no corrections): -4.4334, -4.9512, -3.4353, -4.5174, -1.7911, -5.7133 eV per atom